# 1
Entry from the Alexandria database: a relaxed structure of CeSmIn (PBE).

Space-group type   P-1
Energy above the most stable polymorph in this dataset   0.000 eV/atom

a b c (Å): 5.2865 3.7091 10.0755
angles (deg): 79.47 117.97 89.99
With the nearest neighbours (Å) after each atom.
Element x y z (fractional)
Ce 0.6628 0.7628 0.4749  2 Ce 2.73
Ce 0.3372 0.2372 0.5251  2 Ce 2.73
Sm 0.3739 0.4314 0.1309  6 In 3.29-3.54, 2 Sm 3.44-3.55, 2 Ce 3.52-3.53
Sm 0.6261 0.5686 0.8691  6 In 3.29-3.54, 2 Sm 3.44-3.55, 2 Ce 3.52-3.53
In 0.9441 0.8914 0.2142  6 Sm 3.29-3.54, 4 Ce 3.34-3.54
In 0.0559 0.1086 0.7858  6 Sm 3.29-3.54, 4 Ce 3.34-3.54

# 2
Entry from the Alexandria database: a relaxed structure of CeSm4In4 (PBE).

Space-group type   P4_2/nmc

a b c (Å): 7.2884 7.2884 10.8789
angles (deg): 90.00 90.00 90.00
With the nearest neighbours (Å) after each atom.
Element x y z (fractional)
Ce 0.0000 0.0000 0.0000  4 In 3.70, 8 Sm 4.10
Ce 0.5000 0.5000 0.5000  4 In 3.70, 8 Sm 4.10
Sm 0.2276 0.5000 0.9179  5 In 3.18-3.24, 3 Sm 3.32-3.33
Sm 0.7724 0.5000 0.9179  5 In 3.18-3.24, 3 Sm 3.32-3.33
Sm 0.5000 0.7724 0.0821  5 In 3.18-3.24, 3 Sm 3.32-3.33
Sm 0.5000 0.2276 0.0821  5 In 3.18-3.24, 3 Sm 3.32-3.33
Sm 0.0000 0.7276 0.4179  5 In 3.18-3.24, 3 Sm 3.32-3.33
Sm 0.0000 0.2724 0.4179  5 In 3.18-3.24, 3 Sm 3.32-3.33
Sm 0.2724 0.0000 0.5821  5 In 3.18-3.24, 3 Sm 3.32-3.33
Sm 0.7276 0.0000 0.5821  5 In 3.18-3.24, 3 Sm 3.32-3.33
In 0.5000 0.7802 0.7840  5 Sm 3.18-3.24, 1 In 3.20
In 0.5000 0.2198 0.7840  5 Sm 3.18-3.24, 1 In 3.20
In 0.7802 0.5000 0.2160  5 Sm 3.18-3.24, 1 In 3.20
In 0.2198 0.5000 0.2160  5 Sm 3.18-3.24, 1 In 3.20
In 0.2802 0.0000 0.2840  5 Sm 3.18-3.24, 1 In 3.20
In 0.7198 0.0000 0.2840  5 Sm 3.18-3.24, 1 In 3.20
In 0.0000 0.2802 0.7160  5 Sm 3.18-3.24, 1 In 3.20
In 0.0000 0.7198 0.7160  5 Sm 3.18-3.24, 1 In 3.20

What did we get for total magnetic moment? Answer: 0.00 0.15 μB/atom, in the order shown.
What did we get for energy of formation from the pure elements? Answer: -0.299 -0.119 eV per atom, in the order shown.
What did we get for calculated total energy? Answer: -4.76 -4.09 eV/atom, in the order shown.